The following is a PBE-GGA calculation of MgB2S after structural relaxation, from Alexandria via LeMat-Bulk.

The structure belongs to space group P1 (No. 1); the cell edges are 3.131, 4.316 and 9.000 Å and the angles 80.00°, 80.08° and 68.86°. The inequivalent atoms are Mg at (0.000, 0.000, 0.000), Mg at (0.306, 0.757, 0.633), B at (0.142, 0.298, 0.429), B at (0.591, 0.495, 0.334), B at (0.760, 0.083, 0.416), B at (0.954, 0.695, 0.406), S at (0.549, 0.121, 0.779) and S at (0.668, 0.548, 0.116).

The raw total energy comes out at -5.040 eV/atom. As for the distance to the lowest polymorph of the same formula: 108 meV per atom.